1.
Density functional theory data (GGA-PBE) for a relaxed Ac2Mg2Cu15 crystal.

Density of states at the Fermi level (states/eV per atom): 0.533
Spin magnetization (μB per cell): 0.00
Space-group type: No. 166
Calculated formation energy (eV per atom): -0.089

Cell lengths 6.7226, 6.7226, 6.7226 Å; angles 82.51, 82.51, 82.51 degrees
Closest atoms and distances in Å follow each position.
Sites, in units of the cell vectors:
1 Ac 0.3533 0.3533 0.3533  15 Cu 3.14-3.41, 1 Mg 3.28
2 Ac 0.6467 0.6467 0.6467  15 Cu 3.14-3.41, 1 Mg 3.28
3 Mg 0.1028 0.1028 0.1028  1 Mg 2.69, 12 Cu 2.69-2.90
4 Mg 0.8972 0.8972 0.8972  1 Mg 2.69, 12 Cu 2.69-2.90
5 Cu 0.5000 0.0000 0.0000  8 Cu 2.55, 2 Mg 2.69
6 Cu 0.0000 0.0000 0.5000  8 Cu 2.55, 2 Mg 2.69
7 Cu 0.0000 0.5000 0.0000  8 Cu 2.55, 2 Mg 2.69
8 Cu 0.0000 0.7096 0.2904  8 Cu 2.55-2.75
9 Cu 0.7096 0.2904 0.0000  8 Cu 2.55-2.75
10 Cu 0.2904 0.0000 0.7096  8 Cu 2.55-2.75
11 Cu 0.2904 0.7096 0.0000  8 Cu 2.55-2.75
12 Cu 0.7096 0.0000 0.2904  8 Cu 2.55-2.75
13 Cu 0.0000 0.2904 0.7096  8 Cu 2.55-2.75
14 Cu 0.1509 0.6578 0.6578  8 Cu 2.55-2.75, 1 Mg 2.71
15 Cu 0.6578 0.6578 0.1509  8 Cu 2.55-2.75, 1 Mg 2.71
16 Cu 0.6578 0.1509 0.6578  8 Cu 2.55-2.75, 1 Mg 2.71
17 Cu 0.8491 0.3422 0.3422  8 Cu 2.55-2.75, 1 Mg 2.71
18 Cu 0.3422 0.3422 0.8491  8 Cu 2.55-2.75, 1 Mg 2.71
19 Cu 0.3422 0.8491 0.3422  8 Cu 2.55-2.75, 1 Mg 2.71

***

2.
Density functional theory data (GGA-PBE) for a relaxed Ac2MgCu9 crystal.

Density of states at the Fermi level (states/eV per atom): 0.368
Spin magnetization (μB per cell): 0.00
Space-group type: No. 166
Calculated formation energy (eV per atom): -0.014

Cell lengths 5.2229, 5.2229, 9.2598 Å; angles 73.62, 73.62, 60.00 degrees
Closest atoms and distances in Å follow each position.
Sites, in units of the cell vectors:
1 Ac 0.8663 0.8663 0.4010  9 Cu 3.02-3.14
2 Ac 0.1337 0.1337 0.5990  9 Cu 3.02-3.14
3 Mg 0.0000 0.0000 0.0000  18 Cu 3.02-3.28
4 Cu 0.6674 0.6674 0.9977  6 Cu 2.48-2.50
5 Cu 0.3326 0.3326 0.0023  6 Cu 2.48-2.50
6 Cu 0.5000 0.5000 0.5000  6 Cu 2.82, 6 Ac 3.14
7 Cu 0.4254 0.4254 0.2266  6 Cu 2.48-2.63
8 Cu 0.9225 0.4254 0.2266  6 Cu 2.48-2.63
9 Cu 0.4254 0.9225 0.2266  6 Cu 2.48-2.63
10 Cu 0.5746 0.5746 0.7734  6 Cu 2.48-2.63
11 Cu 0.5746 0.0775 0.7734  6 Cu 2.48-2.63
12 Cu 0.0775 0.5746 0.7734  6 Cu 2.48-2.63

***

3.
Density functional theory data (GGA-PBE) for a relaxed AcMgCu2 crystal.

Density of states at the Fermi level (states/eV per atom): 0.832
Spin magnetization (μB per cell): 0.00
Space-group type: No. 123
Calculated formation energy (eV per atom): 0.076

Cell lengths 3.5256, 5.0458, 5.0458 Å; angles 90.00, 90.00, 90.00 degrees
Closest atoms and distances in Å follow each position.
Sites, in units of the cell vectors:
1 Ac 0.5000 0.5000 0.5000  8 Cu 3.08
2 Mg 0.5000 0.0000 0.0000  8 Cu 3.08
3 Cu 0.0000 0.0000 0.5000  4 Ac 3.08, 4 Mg 3.08
4 Cu 0.0000 0.5000 0.0000  4 Ac 3.08, 4 Mg 3.08

***

4.
Density functional theory data (GGA-PBE) for a relaxed Ac5MgCu4 crystal.

Density of states at the Fermi level (states/eV per atom): 0.732
Spin magnetization (μB per cell): 0.00
Space-group type: No. 123
Calculated formation energy (eV per atom): -0.081

Cell lengths 3.8209, 3.8209, 19.8034 Å; angles 90.00, 90.00, 90.00 degrees
Closest atoms and distances in Å follow each position.
Sites, in units of the cell vectors:
1 Ac 0.5000 0.5000 0.1181  4 Cu 3.25, 4 Mg 3.57
2 Ac 0.5000 0.5000 0.3080  8 Cu 3.31-3.33
3 Ac 0.5000 0.5000 0.5000  8 Cu 3.30
4 Ac 0.5000 0.5000 0.6920  8 Cu 3.31-3.33
5 Ac 0.5000 0.5000 0.8819  4 Cu 3.25, 4 Mg 3.57
6 Mg 0.0000 0.0000 0.0000  8 Ac 3.57, 4 Mg 3.82
7 Cu 0.0000 0.0000 0.2098  8 Ac 3.25-3.33
8 Cu 0.0000 0.0000 0.4043  8 Ac 3.30-3.31
9 Cu 0.0000 0.0000 0.5957  8 Ac 3.30-3.31
10 Cu 0.0000 0.0000 0.7902  8 Ac 3.25-3.33

***

5.
Density functional theory data (GGA-PBE) for a relaxed AcMg3Cu crystal.

Density of states at the Fermi level (states/eV per atom): 0.234
Spin magnetization (μB per cell): 0.00
Offset from the most stable computed form (meV/atom): 8.2
Space-group type: No. 221
Calculated formation energy (eV per atom): -0.043

Cell lengths 5.0362, 5.0362, 5.0362 Å; angles 90.00, 90.00, 90.00 degrees
Closest atoms and distances in Å follow each position.
Sites, in units of the cell vectors:
1 Ac 0.5000 0.5000 0.5000  12 Mg 3.56
2 Mg 0.0000 0.5000 0.0000  2 Cu 2.52
3 Mg 0.0000 0.0000 0.5000  2 Cu 2.52
4 Mg 0.5000 0.0000 0.0000  2 Cu 2.52
5 Cu 0.0000 0.0000 0.0000  6 Mg 2.52

***

6.
Density functional theory data (GGA-PBE) for a relaxed Ac3MgCu3 crystal.

Density of states at the Fermi level (states/eV per atom): 0.817
Spin magnetization (μB per cell): 0.00
Space-group type: No. 63
Calculated formation energy (eV per atom): -0.131

Cell lengths 4.5565, 6.0486, 14.7886 Å; angles 90.00, 90.00, 112.13 degrees
Closest atoms and distances in Å follow each position.
Sites, in units of the cell vectors:
1 Ac 0.2055 0.4111 0.8962  6 Cu 3.27-3.29, 3 Mg 3.59-3.64
2 Ac 0.7945 0.5889 0.1038  6 Cu 3.27-3.29, 3 Mg 3.59-3.64
3 Ac 0.2055 0.4111 0.6038  6 Cu 3.27-3.29, 3 Mg 3.59-3.64
4 Ac 0.7945 0.5889 0.3962  6 Cu 3.27-3.29, 3 Mg 3.59-3.64
5 Ac 0.4888 0.9775 0.7500  7 Cu 3.20-3.35
6 Ac 0.5112 0.0225 0.2500  7 Cu 3.20-3.35
7 Mg 0.5000 0.0000 0.0000  4 Cu 2.87
8 Mg 0.5000 0.0000 0.5000  4 Cu 2.87
9 Cu 0.9142 0.8284 0.9009  1 Cu 2.64, 2 Mg 2.87
10 Cu 0.0858 0.1716 0.0991  1 Cu 2.64, 2 Mg 2.87
11 Cu 0.9142 0.8284 0.5991  1 Cu 2.64, 2 Mg 2.87
12 Cu 0.0858 0.1716 0.4009  1 Cu 2.64, 2 Mg 2.87
13 Cu 0.7878 0.5756 0.7500  2 Cu 2.64
14 Cu 0.2122 0.4244 0.2500  2 Cu 2.64

***

7.
Density functional theory data (GGA-PBE) for a relaxed AcMgCuN2 crystal.

Spin magnetization (μB per cell): 0.00
E_form (uncorrected) (eV/f.u.): -3.04
Space-group type: No. 13

Cell lengths 4.2961, 5.8998, 6.2879 Å; angles 102.13, 90.00, 90.00 degrees
Closest atoms and distances in Å follow each position.
Sites, in units of the cell vectors:
1 Ac 0.2348 0.5000 0.7500  6 N 2.65-2.93
2 Ac 0.7652 0.5000 0.2500  6 N 2.65-2.93
3 Mg 0.4749 0.0000 0.2500  4 N 2.24-2.28
4 Mg 0.5251 0.0000 0.7500  4 N 2.24-2.28
5 Cu 0.0000 0.0000 0.0000  2 N 1.90
6 Cu 0.0000 0.0000 0.5000  2 N 1.90
7 N 0.6959 0.7599 0.9573  1 Cu 1.90
8 N 0.6959 0.2401 0.5427  1 Cu 1.90
9 N 0.3041 0.7599 0.4573  1 Cu 1.90
10 N 0.3041 0.2401 0.0427  1 Cu 1.90

***

8.
Density functional theory data (GGA-PBE) for a relaxed AcNdMgCu crystal.

Density of states at the Fermi level (states/eV per atom): 1.045
Spin magnetization (μB per cell): 0.00
Space-group type: No. 216
Calculated formation energy (eV per atom): -0.001

Cell lengths 5.4624, 5.4624, 5.4624 Å; angles 60.00, 60.00, 60.00 degrees
Closest atoms and distances in Å follow each position.
Sites, in units of the cell vectors:
1 Ac 0.0000 0.0000 0.0000  4 Mg 3.35, 4 Cu 3.35
2 Nd 0.5000 0.5000 0.5000  4 Mg 3.35, 4 Cu 3.35
3 Mg 0.7500 0.7500 0.7500  4 Ac 3.35, 4 Nd 3.35
4 Cu 0.2500 0.2500 0.2500  4 Ac 3.35, 4 Nd 3.35

***

9.
Density functional theory data (GGA-PBE) for a relaxed AcMgCuNi crystal.

Density of states at the Fermi level (states/eV per atom): 0.826
Spin magnetization (μB per cell): 0.00
Offset from the most stable computed form (meV/atom): 150.3
Space-group type: No. 216
Calculated formation energy (eV per atom): -0.042

Cell lengths 4.9556, 4.9556, 4.9556 Å; angles 60.00, 60.00, 60.00 degrees
Closest atoms and distances in Å follow each position.
Sites, in units of the cell vectors:
1 Ni 0.7500 0.7500 0.7500  4 Mg 3.03, 4 Ac 3.03
2 Ac 0.0000 0.0000 0.0000  4 Ni 3.03, 4 Cu 3.03
3 Mg 0.5000 0.5000 0.5000  4 Ni 3.03, 4 Cu 3.03
4 Cu 0.2500 0.2500 0.2500  4 Ac 3.03, 4 Mg 3.03

***

10.
Density functional theory data (GGA-PBE) for a relaxed AcMgCuNi crystal.

Density of states at the Fermi level (states/eV per atom): 0.709
Spin magnetization (μB per cell): 0.00
Offset from the most stable computed form (meV/atom): 0.0
Space-group type: No. 8
Calculated formation energy (eV per atom): -0.192

Cell lengths 4.4729, 4.4884, 5.6680 Å; angles 113.36, 90.00, 119.89 degrees
Closest atoms and distances in Å follow each position.
Sites, in units of the cell vectors:
1 Ac 0.6175 0.2349 0.4935  4 Ni 2.99-3.32, 4 Cu 3.02-3.29
2 Mg 0.1127 0.2254 0.9803  3 Ni 2.62, 3 Cu 2.65
3 Cu 0.8173 0.6346 0.0923  3 Mg 2.65, 3 Ni 2.75-2.78
4 Ni 0.4188 0.8377 0.9012  3 Mg 2.62, 3 Cu 2.75-2.78

***

11.
Density functional theory data (GGA-PBE) for a relaxed Ac2MgCu6Ni crystal.

Density of states at the Fermi level (states/eV per atom): 0.721
Spin magnetization (μB per cell): 0.00
Space-group type: No. 2
Calculated formation energy (eV per atom): -0.074

Cell lengths 6.7521, 6.8139, 6.7476 Å; angles 80.22, 43.24, 95.62 degrees
Closest atoms and distances in Å follow each position.
Sites, in units of the cell vectors:
1 Ac 0.7725 0.3220 0.4516  9 Cu 3.13-3.47, 2 Ni 3.25-3.26
2 Ac 0.2275 0.6780 0.5484  9 Cu 3.13-3.47, 2 Ni 3.25-3.26
3 Mg 0.0000 0.0000 0.0000  6 Cu 2.57-2.73
4 Cu 0.2283 0.2312 0.4911  4 Cu 2.45-2.53, 1 Ni 2.47, 1 Mg 2.57
5 Cu 0.7490 0.9228 0.8259  4 Cu 2.45-2.53, 1 Mg 2.73, 1 Ni 2.74
6 Cu 0.2780 0.7687 0.0025  4 Cu 2.46-2.53, 1 Ni 2.47, 1 Mg 2.57
7 Cu 0.7220 0.2313 0.9975  4 Cu 2.46-2.53, 1 Ni 2.47, 1 Mg 2.57
8 Cu 0.2510 0.0772 0.1741  4 Cu 2.45-2.53, 1 Mg 2.73, 1 Ni 2.74
9 Cu 0.7717 0.7688 0.5089  4 Cu 2.45-2.53, 1 Ni 2.47, 1 Mg 2.57
10 Ni 0.5000 0.5000 0.0000  6 Cu 2.47-2.74

***

12.
Density functional theory data (GGA-PBE) for a relaxed Ac3MgCu2O9 crystal.

Density of states at the Fermi level (states/eV per atom): 0.490
Spin magnetization (μB per cell): 0.00
E_form (uncorrected) (eV/f.u.): -33.27
Space-group type: No. 164

Cell lengths 5.6012, 5.6012, 6.8435 Å; angles 90.00, 90.00, 120.00 degrees
Closest atoms and distances in Å follow each position.
Sites, in units of the cell vectors:
1 Ac 0.3333 0.6667 0.6661  12 O 2.80-2.81
2 Ac 0.0000 0.0000 0.0000  12 O 2.78-2.80
3 Ac 0.6667 0.3333 0.3339  12 O 2.80-2.81
4 Mg 0.0000 0.0000 0.5000  6 O 2.02
5 Cu 0.3333 0.6667 0.1663  6 O 1.94-1.98
6 Cu 0.6667 0.3333 0.8337  6 O 1.94-1.98
7 O 0.8308 0.1692 0.6723  1 Cu 1.94, 1 Mg 2.02
8 O 0.8308 0.6616 0.6723  1 Cu 1.94, 1 Mg 2.02
9 O 0.3384 0.1692 0.6723  1 Cu 1.94, 1 Mg 2.02
10 O 0.6616 0.8308 0.3277  1 Cu 1.94, 1 Mg 2.02
11 O 0.1692 0.3384 0.3277  1 Cu 1.94, 1 Mg 2.02
12 O 0.1692 0.8308 0.3277  1 Cu 1.94, 1 Mg 2.02
13 O 0.5000 0.0000 0.0000  2 Cu 1.98
14 O 0.0000 0.5000 0.0000  2 Cu 1.98
15 O 0.5000 0.5000 0.0000  2 Cu 1.98

***

| no. | uncorrected energy (eV for the cell shown) |
| --- | --- |
| 1 | -74.53 |
| 2 | -46.85 |
| 3 | -13.59 |
| 4 | -39.33 |
| 5 | -13.20 |
| 6 | -54.25 |
| 7 | -58.97 |
| 8 | -14.57 |
| 9 | -15.75 |
| 10 | -16.35 |
| 11 | -40.91 |
| 12 | -100.00 |